Material: Li2Hg2Sb
Method: DFT, PBE-GGA
State: relaxed

abc: 4.062 4.062 13.458
angles: 90.00 90.00 90.00
Space group I4/mmm (No. 139)
One atom of each set of equivalent atoms:
Li1 0.000 0.500 0.250 (multiplicity 4)
Hg1 0.000 0.000 0.115 (multiplicity 4)
Sb1 0.000 0.000 0.500 (multiplicity 2)

Computed properties:
Polymorph energy (0 for the lowest one)   118.4 meV/atom
Energy relative to the elements, uncorrected   -0.1599 eV per atom
Final energy   -1.8706 eV per atom
Total magnetization   0.00 μB/f.u.